No. 1
Compound: Na3PmDy2O6
Source: the Alexandria database
Functional: PBE
Structure: optimized geometry

As for the uncorrected formation energy: -2.748 eV/atom. The calculation puts the volume at 175.4 Å³ per cell. The calculation puts the theoretical density at 6.0 Mg/m³. Its calculated total energy is -6.720 eV per atom.

Cell: 6.0149 6.0149 5.9454 Å, 99.68 99.68 120.02°
Last column: nearest neighbours and their distance in Å.
Sites, in units of the cell vectors:
Na  0.8296  0.1704  0.5000  6 O 2.51-2.62
Na  0.1704  0.8296  0.5000  6 O 2.51-2.62
Na  0.5000  0.5000  0.5000  6 O 2.53-2.59
O  0.0705  0.4122  0.2119  2 Dy 2.31, 1 Pm 2.37, 1 Na 2.51
O  0.7290  0.7290  0.2130  2 Dy 2.31, 1 Pm 2.38, 1 Na 2.53
O  0.2710  0.2710  0.7870  2 Dy 2.31, 1 Pm 2.38, 1 Na 2.53
O  0.5878  0.9295  0.7881  2 Dy 2.31, 1 Pm 2.37, 1 Na 2.51
O  0.9295  0.5878  0.7881  2 Dy 2.31, 1 Pm 2.37, 1 Na 2.51
O  0.4122  0.0705  0.2119  2 Dy 2.31, 1 Pm 2.37, 1 Na 2.51
Dy  0.6666  0.3334  0.0000  6 O 2.31
Dy  0.3334  0.6666  0.0000  6 O 2.31
Pm  0.0000  0.0000  0.0000  6 O 2.37-2.38

No. 2
Compound: LaGe2IrOs
Source: the Alexandria database
Functional: PBE
Structure: optimized geometry

The calculation puts the volume at 95.4 Å³ per cell. As for the formation energy: -619 meV/atom. The calculation puts the theoretical density at 11.6 Mg/m³. Its calculated total energy is -7.470 eV per atom.

Cell: 4.2840 4.2840 6.0160 Å, 110.86 110.86 90.00°
Last column: nearest neighbours and their distance in Å.
Sites, in units of the cell vectors:
Ir  0.2500  0.7500  0.5000  4 Ge 2.48
Os  0.7500  0.2500  0.5000  4 Ge 2.48
La  0.0000  0.0000  0.0000  8 Ge 3.31, 4 Os 3.37, 4 Ir 3.37
Ge  0.3705  0.3705  0.7410  2 Ir 2.48, 2 Os 2.48, 1 Ge 2.69
Ge  0.6295  0.6295  0.2590  2 Os 2.48, 2 Ir 2.48, 1 Ge 2.69

No. 3
Compound: Nb8Ga2S
Source: the Alexandria database
Functional: PBE
Structure: optimized geometry

As for the uncorrected formation energy: -0.192 eV/atom. The calculation puts the volume at 191.4 Å³ per cell. The calculation puts the theoretical density at 7.9 Mg/m³. Its calculated total energy is -8.441 eV per atom.

Cell: 4.6473 5.4747 7.9740 Å, 99.11 106.94 90.00°
Last column: nearest neighbours and their distance in Å.
Sites, in units of the cell vectors:
Nb  0.2297  0.3380  0.4593  3 Ga 2.74-2.98, 6 Nb 2.75-2.97
Nb  0.6607  0.0634  0.3214  1 S 2.42
Nb  0.7703  0.6620  0.5407  3 Ga 2.74-2.98, 6 Nb 2.75-2.97
Nb  0.9768  0.7411  0.9536  2 S 2.71, 1 Ga 2.78, 4 Nb 2.81-2.84
Nb  0.4108  0.4836  0.8215  6 Nb 2.70-3.01, 2 Ga 2.83, 1 S 2.93
Nb  0.0232  0.2589  0.0464  2 S 2.71, 1 Ga 2.78, 4 Nb 2.81-2.84
Nb  0.3393  0.9366  0.6786  1 S 2.42
Nb  0.5892  0.5164  0.1785  6 Nb 2.70-3.01, 2 Ga 2.83, 1 S 2.93
Ga  0.1603  0.7696  0.3207  9 Nb 2.73-2.98
Ga  0.8397  0.2304  0.6793  9 Nb 2.73-2.98
S  0.5000  0.0000  0.0000  2 Nb 2.42

No. 4
Compound: NbTlCl2
Source: the Alexandria database
Functional: PBE
Structure: optimized geometry

For the offset from the most stable computed form, the calculation gives 127 kJ/mol of formula units. As for the uncorrected formation energy: -0.328 eV/atom. The calculation puts the volume at 96.7 Å³ per cell. The calculation puts the theoretical density at 6.3 Mg/m³. Its calculated total energy is -4.360 eV per atom.

Cell: 10.3226 10.3226 10.3226 Å, 18.50 18.50 18.50°
Last column: nearest neighbours and their distance in Å.
Sites, in units of the cell vectors:
Cl  0.9231  0.9231  0.9231  1 Nb 2.34
Cl  0.0769  0.0769  0.0769  1 Nb 2.34
Nb  0.0000  0.0000  0.0000  2 Cl 2.34
Tl  0.5000  0.5000  0.5000  6 Tl 3.32, 6 Cl 3.34